Sc3OsCl: optimized geometry, GGA-PBE.

Lattice parameters (Å, degrees): 5.1052 5.1052 5.1052 90.00 90.00 90.00
Positions (direct):
Sc (0.0000, 0.0000, 0.5000)
Sc (0.0000, 0.5000, 0.0000)
Sc (0.5000, 0.0000, 0.0000)
Os (0.0000, 0.0000, 0.0000)
Cl (0.5000, 0.5000, 0.5000)

Summary:
total magnetic moment = 0.00 μB per formula unit
raw formation energy = -12.7 kJ per mole of atoms
energy = -6.546 eV per atom
space-group type = Pm-3m
ΔE to the lowest computed polymorph = 0 meV/atom